CeYTiN3: relaxed, PBE.

Computed properties:
- Energy relative to the elements, uncorrected: -7.8 eV/f.u.
- Space group: P2_1/m (11)
- Spin magnetization: 0.134 μB/atom

Unit cell a=7.198 b=3.526 c=7.770 alpha=90.00 beta=97.79 gamma=90.00
Fractional positions:
1 Ce 0.167 0.250 0.167
2 Ce 0.833 0.750 0.833
3 Y 0.366 0.750 0.841
4 Y 0.634 0.250 0.159
5 Ti 0.102 0.250 0.598
6 Ti 0.898 0.750 0.402
7 N 0.117 0.250 0.851
8 N 0.173 0.750 0.515
9 N 0.392 0.750 0.140
10 N 0.608 0.250 0.860
11 N 0.827 0.250 0.485
12 N 0.883 0.750 0.149